A plane-wave DFT calculation with PBEsol was carried out for TbAlAu after structural relaxation.

Cell and atoms, written as CIF:
```
data_TbAlAu
_chemical_formula_sum 'Tb4 Al4 Au4'
_cell_length_a 7.161
_cell_length_b 4.430
_cell_length_c 7.673
_cell_angle_alpha 90.00
_cell_angle_beta 90.00
_cell_angle_gamma 90.00
_space_group_name_H-M_alt 'P n m a'
_space_group_IT_number 62
loop_
_space_group_symop_operation_xyz
'x,y,z'
'-x,-y,-z'
'-x+1/2,-y,z+1/2'
'x+1/2,y,-z+1/2'
'x+1/2,-y+1/2,-z+1/2'
'-x+1/2,y+1/2,z+1/2'
'-x,y+1/2,-z'
'x,-y+1/2,z'
loop_
_atom_site_label
_atom_site_fract_x
_atom_site_fract_y
_atom_site_fract_z
Tb1 0.009 0.250 0.194
Al1 0.171 0.250 0.578
Au1 0.211 0.750 0.404
```

Computed properties:
- Crystal system: orthorhombic
- Energy of formation: -0.82 eV per atom